# PBE with a Hubbard U HfMnOs2F, relaxed
data_HfMnOs2F
_chemical_formula_sum 'Hf1 Mn1 Os2 F1'
_space_group_name_H-M_alt 'P 4/m m m'
_space_group_IT_number 123
_space_group_name_Hall '-P 4 2'
_cell_length_a 4.4445
_cell_length_b 4.4445
_cell_length_c 4.0041
_cell_angle_alpha 90.00
_cell_angle_beta 90.00
_cell_angle_gamma 90.00
loop_
_atom_site_label
_atom_site_type_symbol
_atom_site_fract_x
_atom_site_fract_y
_atom_site_fract_z
Hf1 Hf 0.0000 0.0000 0.0000
Mn1 Mn 0.5000 0.5000 0.0000
Os1 Os 0.0000 0.5000 0.5000
F1 F 0.5000 0.5000 0.5000
# Density of states at the Fermi level ... 3.020 states/eV per cell
# Raw total energy ... -7.8453 eV/atom